(1)
The following is a PBE-GGA calculation of Th5C4 after structural relaxation, from Alexandria.

Lattice parameters (Å, degrees): 7.4717 7.4717 7.4717 93.55 93.55 151.18
Closest atoms and distances in Å follow each position.
Sites, in units of the cell vectors:
Th (0.0000, 0.0000, 0.0000)  4 C 2.49
Th (0.2364, 0.5827, 0.8192)  3 C 2.44-2.66
Th (0.4173, 0.2364, 0.6537)  3 C 2.44-2.66
Th (0.5827, 0.7636, 0.3463)  3 C 2.44-2.66
Th (0.7636, 0.4173, 0.1808)  3 C 2.44-2.66
C (0.0986, 0.7777, 0.8763)  4 Th 2.44-2.66
C (0.2223, 0.0986, 0.3208)  4 Th 2.44-2.66
C (0.7777, 0.9014, 0.6792)  4 Th 2.44-2.66
C (0.9014, 0.2223, 0.1237)  4 Th 2.44-2.66

Computed properties:
space-group type: I4/m
formation energy: -0.03 eV/atom
V: 195 Å³/f.u.
ΔE to the lowest computed polymorph: 0 meV per atom



(2)
The following is a PBE-GGA calculation of ThTiC after structural relaxation, from Alexandria.

Lattice parameters (Å, degrees): 3.3459 3.3459 5.8678 90.00 90.00 120.00
Closest atoms and distances in Å follow each position.
Sites, in units of the cell vectors:
Th (0.0000, 0.0000, 0.0000)  3 C 2.60
Ti (0.6667, 0.3333, 0.4489)  3 C 2.13
C (0.3333, 0.6667, 0.2978)  3 Ti 2.13

Computed properties:
space-group type: P3m1
formation energy: -0.20 eV/atom
V: 57 Å³/f.u.
ΔE to the lowest computed polymorph: 0 meV per atom



(3)
The following is a PBE-GGA calculation of ThTi2C2 after structural relaxation, from Alexandria.

Lattice parameters (Å, degrees): 5.7964 5.7964 5.8093 112.55 112.55 103.17
Closest atoms and distances in Å follow each position.
Sites, in units of the cell vectors:
Th (0.1253, 0.8747, 0.7500)  6 C 2.66-2.94
Th (0.8747, 0.1253, 0.2500)  6 C 2.66-2.94
Ti (0.2371, 0.4864, 0.9747)  4 C 2.11-2.26
Ti (0.4864, 0.2371, 0.4747)  4 C 2.11-2.26
Ti (0.5136, 0.7629, 0.5253)  4 C 2.11-2.26
Ti (0.7629, 0.5136, 0.0253)  4 C 2.11-2.26
C (0.1684, 0.8316, 0.2500)  4 Ti 2.11-2.26
C (0.4178, 0.5822, 0.7500)  4 Ti 2.11-2.26
C (0.5822, 0.4178, 0.2500)  4 Ti 2.11-2.26
C (0.8316, 0.1684, 0.7500)  4 Ti 2.11-2.26

Computed properties:
space-group type: C2/c
formation energy: -0.33 eV/atom
V: 75 Å³/f.u.



(4)
The following is a PBE-GGA calculation of ThTiC after structural relaxation, from Alexandria.

Lattice parameters (Å, degrees): 6.5695 6.5695 6.5695 52.26 52.26 52.26
Closest atoms and distances in Å follow each position.
Sites, in units of the cell vectors:
Th (0.0110, 0.6638, 0.3252)  3 C 2.63-2.68
Th (0.3252, 0.0110, 0.6638)  3 C 2.63-2.68
Th (0.6638, 0.3252, 0.0110)  3 C 2.63-2.68
Ti (0.1756, 0.5019, 0.8384)  3 C 2.12-2.17
Ti (0.5019, 0.8384, 0.1756)  3 C 2.12-2.17
Ti (0.8384, 0.1756, 0.5019)  3 C 2.12-2.17
C (0.2251, 0.2251, 0.2251)  3 Ti 2.12
C (0.4457, 0.4457, 0.4457)  3 Ti 2.17
C (0.8902, 0.8902, 0.8902)  3 Ti 2.14

Computed properties:
space-group type: R3
formation energy: -0.15 eV/atom
V: 55 Å³/f.u.
ΔE to the lowest computed polymorph: 49 meV per atom